(P)
8
Lattice="4.8911 0.0000 0.0000 0.0000 4.8172 -0.1694 -2.4455 -2.0456 8.3439" Properties=species:S:1:pos:R:3 comment="Ce3Cd3Ag2 (GGA-PBE, relaxed)" space_group="C2/m (12)" total_magnetization_mub_per_fu=3.36 pbc="T T T"
Cd 2.4455 0.1137 2.3622
Cd 0.0000 2.6579 5.8123
Cd 2.4455 2.4086 -0.0847
Ag 0.0000 0.1819 4.0525
Ag 2.4455 2.5897 4.1221
Ce 0.0000 2.5194 2.0724
Ce 0.0000 0.0000 0.0000
Ce 2.4456 0.2522 6.1022

=====

(Q)
8
Lattice="-2.4106 2.5725 1.8191 -5.9363 -5.0825 -0.6791 4.6051 -0.1735 6.3480" Properties=species:S:1:pos:R:3 comment="Ce3Cd3Ag2 (GGA-PBE, relaxed)" space_group="P-62m (189)" total_magnetization_mub_per_fu=2.59 pbc="T T T"
Ce -1.7471 -0.8529 3.2167
Ce -4.7256 -1.7277 0.5068
Ce 1.5255 1.1834 4.6739
Ag -2.4225 -3.4462 1.6632
Ag 1.0913 -1.8098 4.0056
Cd 1.0649 -0.0401 1.4679
Cd -1.0234 -4.0406 4.3579
Cd -1.3727 -1.1753 -0.1570

=====

Least stable of them? (Q).